# 1
Material: ScTcSe2
Method: DFT, PBE
State: optimized geometry

Lattice parameters (Å, degrees): 4.564 4.564 3.229 90.00 90.00 90.00
Fractional coordinates of all 4 atoms:
Sc1 0.000 0.000 0.000
Tc1 0.500 0.500 0.000
Se1 0.000 0.500 0.500
Se2 0.500 0.000 0.500

Computed properties:
The value obtained for the excess energy over the best structure of this formula in the dataset is 0.42 eV per formula unit. The calculation puts the density of states at the Fermi level at 3.1 states/eV/cell. As for the energy relative to the elements, uncorrected: -592.6 meV per atom.

# 2
Material: LiHo2Cu3Ge4
Method: DFT, PBE
State: optimized geometry

Lattice parameters (Å, degrees): 4.079 4.079 10.350 90.00 90.00 90.00
Fractional coordinates of all 10 atoms:
Li1 0.000 0.000 0.000
Ho1 0.000 0.500 0.754
Ho2 0.500 0.000 0.246
Cu1 0.000 0.500 0.364
Cu2 0.500 0.000 0.636
Cu3 0.500 0.500 0.000
Ge1 0.000 0.000 0.500
Ge2 0.000 0.500 0.136
Ge3 0.500 0.000 0.864
Ge4 0.500 0.500 0.500

Computed properties:
The calculation puts the density of states at the Fermi level at 3.0 states/eV/cell.

no.,M_tot (μB per cell),calculated total energy (eV for the cell shown)
1,0.000,-26.04
2,0.000,-46.55